No. 1
Density functional theory data (PBE) for an optimized crystal structure of SrZnH2Au.

Cell lengths 4.1776, 4.1776, 4.9349 Å; angles 90.00, 90.00, 90.00 degrees
With the nearest neighbours (Å) after each atom.
Space group P4/mmm (No. 123)
Inequivalent atoms, fractional coordinates:
Sr1 0.0000 0.0000 0.0000 [1 per cell]  4 Zn 2.95, 8 H 3.23
Zn1 0.5000 0.5000 0.0000 [1 per cell]  2 Au 2.47
H1 0.0000 0.5000 0.5000 [2 per cell]  2 Au 2.09
Au1 0.5000 0.5000 0.5000 [1 per cell]  4 H 2.09

=====

No. 2
Density functional theory data (PBE) for an optimized crystal structure of Pu4MnGe3.

Properties
Distance to the lowest polymorph of the same formula = 0 meV/atom
Energy relative to the elements = -0.325 eV per atom

Cell lengths 4.4557, 4.4557, 16.7497 Å; angles 90.00, 90.00, 90.00 degrees
With the nearest neighbours (Å) after each atom.
Space group I4/mmm (No. 139)
Inequivalent atoms, fractional coordinates:
Pu1 0.0000 0.5000 0.1227 [8 per cell]  6 Ge 3.03-3.09, 2 Mn 3.03, 4 Pu 3.15
Mn1 0.0000 0.0000 0.0000 [2 per cell]  8 Pu 3.03, 4 Ge 3.15
Ge1 0.0000 0.0000 0.2498 [4 per cell]  8 Pu 3.08-3.09, 4 Ge 3.15
Ge2 0.0000 0.0000 0.5000 [2 per cell]  8 Pu 3.03, 4 Mn 3.15

=====

no.,calculated total energy (eV/atom)
1,-2.5084
2,-10.3690